(1)
## Cs2MnV2Cl2O6 (SCAN)

Data for Cs2MnV2Cl2O6 at its PBEsol-relaxed geometry.

## Properties
* E_form (uncorrected): -2.387 eV per atom
* raw total energy: -426.45 eV per cell
* mass density: 3.6 g/cm3

abc: 5.551 17.439 5.573
angles: 90.00 90.00 90.00
Space group Cmm2 (No. 35)
Symmetry-distinct sites (fractional):
Cs  0.000  0.127  0.000 (multiplicity 4)
Mn  0.000  0.500  0.509 (multiplicity 2)
V  0.000  0.302  0.513 (multiplicity 4)
Cl  0.000  0.000  0.520 (multiplicity 2)
Cl  0.000  0.500  0.091 (multiplicity 2)
O  0.000  0.300  0.222 (multiplicity 4)
O  0.000  0.393  0.614 (multiplicity 4)
O  0.250  0.250  0.630 (multiplicity 4)

(2)
## NiAg2Pb (SCAN)

Data for NiAg2Pb at its PBEsol-relaxed geometry.

## Properties
* Fermi-level density of states: 2.12 states/eV/cell
* ΔE_f: 1.27 eV per formula unit
* raw total energy: -153.42 eV per cell
* mass density: 11.3 g/cm3

abc: 3.109 4.461 5.317
angles: 90.00 105.88 90.00
Space group P2/m (No. 10)
Symmetry-distinct sites (fractional):
Ni  0.000  0.000  0.000 (multiplicity 1)
Ag  0.380  0.500  0.222 (multiplicity 2)
Pb  0.000  0.000  0.500 (multiplicity 1)

(3)
## TaMn2Fe (SCAN)

Data for TaMn2Fe at its PBEsol-relaxed geometry.

## Properties
* Fermi-level density of states: 9.42 states/eV/cell
* ΔE_f: 0.60 eV per formula unit
* raw total energy: -241.24 eV per cell
* mass density: 11.7 g/cm3

abc: 3.680 3.690 7.234
angles: 90.00 90.00 90.00
Space group Cmmm (No. 65)
Symmetry-distinct sites (fractional):
Ta  0.000  0.000  0.000 (multiplicity 2)
Mn  0.000  0.500  0.287 (multiplicity 4)
Fe  0.000  0.000  0.500 (multiplicity 2)

(4)
## Ta4Fe4Si7 (SCAN)

Data for Ta4Fe4Si7 at its PBEsol-relaxed geometry.

## Properties
* E_form (uncorrected): -0.478 eV per atom
* Fermi-level density of states: 44.05 states/eV/cell
* raw total energy: -1664.55 eV per cell
* mass density: 9.9 g/cm3

abc: 12.424 12.424 4.955
angles: 90.00 90.00 90.00
Space group I4/mmm (No. 139)
Symmetry-distinct sites (fractional):
Ta  0.000  0.192  0.000 (multiplicity 8)
Ta  0.135  0.135  0.500 (multiplicity 8)
Fe  0.150  0.350  0.250 (multiplicity 16)
Si  0.000  0.000  0.251 (multiplicity 4)
Si  0.000  0.300  0.500 (multiplicity 8)
Si  0.000  0.405  0.000 (multiplicity 8)
Si  0.209  0.209  0.000 (multiplicity 8)